VASP calculation (GGA-PBE) on an optimized crystal structure of Y4CuTe.

## Properties
**Formation energy without anion corrections**: 0.38 eV per atom
**M_tot**: 0.00 μB per formula unit
**E above lowest polymorph**: 899.2 meV/atom
**Calculated total energy**: -5.1388 eV/atom

a b c (Å): 6.2975 6.2975 6.2975
angles (deg): 60.00 60.00 60.00
With the nearest neighbours (Å) after each atom.
Atoms (fractional coordinates):
Y  0.8743  0.3752  0.3752  6 Y 3.14-3.15
Y  0.3752  0.3752  0.8743  6 Y 3.14-3.15
Y  0.3752  0.8743  0.3752  6 Y 3.14-3.15
Y  0.3752  0.3752  0.3752  6 Y 3.14-3.15
Cu  0.7500  0.7500  0.7500  12 Y 3.69, 4 Te 3.86
Te  0.0000  0.0000  0.0000  12 Y 3.69, 4 Cu 3.86